1.
Computed, not measured: a relaxed structure of PmGa12Pd4 at the PBE level of DFT.

It has space group Im-3 (No. 204), with a = 8.816 Å, b = 8.816 Å, c = 8.816 Å, α = 90.00°, β = 90.00° and γ = 90.00°. The inequivalent atoms are Pm at (0.000, 0.000, 0.000), Ga at (0.000, 0.152, 0.348) and Pd at (0.250, 0.250, 0.250).

The total energy is -3.9055 eV per atom.



2.
Computed, not measured: a relaxed structure of Zn2Ni3W at the PBE level of DFT.

It has space group P4/mmm (No. 123), with a = 2.704 Å, b = 2.704 Å, c = 10.304 Å, α = 90.00°, β = 90.00° and γ = 90.00°. The inequivalent atoms are Zn at (0.000, 0.000, 0.160), Ni at (0.500, 0.500, 0.000), Ni at (0.500, 0.500, 0.324) and W at (0.000, 0.000, 0.500).

The total energy is -5.6257 eV per atom.